# 1
Here is an optimized crystal structure of Pu2PaCu9 from Alexandria via LeMat-Bulk. Energies are from PBE.

Output
**Formation energy from the elements**: -0.013 eV per atom

extended XYZ file:
```
12
Lattice="-0.2936 3.6705 3.5845 0.5116 -1.2129 4.9674 8.2699 2.0143 2.2982" Properties=species:S:1:pos:R:3 pbc="T T T"
Pu 4.6550 1.4873 2.5418
Pu 3.8329 2.9846 8.3083
Cu 2.0924 1.5224 4.1579
Cu 8.3746 3.6468 8.0022
Cu 0.1133 0.8251 2.8479
Cu 1.9472 3.3376 5.9306
Cu 6.1425 3.5493 4.2357
Cu 4.2439 2.2360 5.4251
Cu 6.3955 2.9495 6.6923
Cu 2.3454 0.9226 6.6145
Cu 6.5407 1.1343 4.9196
Pa 0.0000 0.0000 0.0000
```

=====

# 2
Here is an optimized crystal structure of DyZr2Tc from Alexandria via LeMat-Bulk. Energies are from PBE.

Output
**Formation energy from the elements**: -0.104 eV per atom
**Distance to the lowest polymorph of the same formula**: 0.00 kcal/mol of atoms

extended XYZ file:
```
4
Lattice="-2.1453 -2.5526 0.3075 1.5259 -0.9417 2.8280 -4.9295 4.6499 4.2081" Properties=species:S:1:pos:R:3 pbc="T T T"
Zr -0.9647 0.9100 0.8235
Zr -3.9648 3.7400 3.3846
Dy -2.7745 0.5778 3.6718
Tc -0.3097 -1.7472 1.5678
```

=====

# 3
Here is an optimized crystal structure of SmPdPtAu from Alexandria via LeMat-Bulk. Energies are from PBE.

Output
**Formation energy from the elements**: -0.702 eV per atom
**Distance to the lowest polymorph of the same formula**: 2.53 kcal/mol of atoms

extended XYZ file:
```
4
Lattice="-1.6848 2.7346 3.5552 -2.5666 -1.9747 3.5311 1.8645 -0.3716 4.3979" Properties=species:S:1:pos:R:3 pbc="T T T"
Sm 0.0000 0.0000 0.0000
Pt -1.7901 0.2912 8.6131
Pd -0.5967 0.0971 2.8710
Au -1.1934 0.1941 5.7421
```